Entry 1:
Here is an optimized crystal structure of Zr2CoHg from the Alexandria database. Energies are from PBE-GGA.

Summary:
The value obtained for the energy relative to the elements is 154 meV per atom. As for the space group: No. 216. As for the electronic total energy: -5.972 eV per atom.

a b c (Å): 4.709 4.709 4.709
angles (deg): 60.00 60.00 60.00
Each line ends with the local moment (μB).
Sites, in units of the cell vectors:
Zr 0.000 0.000 0.000  0.45
Zr 0.250 0.250 0.250  0.33
Co 0.500 0.500 0.500  0.00
Hg 0.750 0.750 0.750  0.01

Entry 2:
Here is an optimized crystal structure of Pr2NiAs4Pt3 from the Alexandria database. Energies are from PBE-GGA.

Summary:
The value obtained for the energy relative to the elements is -861 meV per atom. As for the space group: No. 115. As for the electronic total energy: -6.067 eV per atom.

a b c (Å): 4.419 4.419 9.941
angles (deg): 90.00 90.00 90.00
Sites, in units of the cell vectors:
As 0.000 0.500 0.376
As 0.500 0.500 0.000
As 0.000 0.000 0.000
As 0.500 0.000 0.624
Pt 0.000 0.000 0.500
Pt 0.000 0.500 0.125
Pt 0.500 0.000 0.875
Pr 0.500 0.000 0.255
Pr 0.000 0.500 0.745
Ni 0.500 0.500 0.500

Entry 3:
Here is an optimized crystal structure of KAu2 from the Alexandria database. Energies are from PBE-GGA.

Summary:
The value obtained for the energy relative to the elements is 383 meV per atom. As for the space group: No. 205. As for the electronic total energy: -2.168 eV per atom.

a b c (Å): 7.653 7.653 7.653
angles (deg): 90.00 90.00 90.00
Each line ends with the local moment (μB).
Sites, in units of the cell vectors:
Au 0.401 0.401 0.599  0.12
Au 0.401 0.099 0.099  0.12
Au 0.599 0.901 0.901  0.12
Au 0.599 0.599 0.401  0.12
Au 0.099 0.599 0.099  0.12
Au 0.099 0.901 0.599  0.12
Au 0.901 0.099 0.401  0.12
Au 0.901 0.401 0.901  0.12
K 0.500 0.000 0.500  0.01
K 0.000 0.000 0.000  0.01
K 0.500 0.500 0.000  0.01
K 0.000 0.500 0.500  0.01

Q: Among the records above, which one has the lowest energy relative to the elements?
A: Pr2NiAs4Pt3

Q: Look up the electronic total energy of the first one.
A: -5.972 eV per atom